<A>
Computed, not measured: a relaxed Re2MoPt crystal at the GGA-PBEsol level of DFT.

N(E_F): 2.8 states/eV per cell
Total magnetization: 0.00 μB/atom

Cell lengths 3.881, 3.881, 3.893 Å; angles 90.00, 90.00, 90.00 degrees
Space group P4/mmm (No. 123)
Symmetry-distinct sites (fractional):
Re: 0.000 0.500 0.000 x2
Mo: 0.000 0.000 0.500 x1
Pt: 0.500 0.500 0.500 x1

***

<B>
Computed, not measured: a relaxed Re2MoPt crystal at the GGA-PBEsol level of DFT.

N(E_F): 5.4 states/eV per cell
Total magnetization: 0.00 μB/atom

Cell lengths 3.904, 3.904, 7.710 Å; angles 90.00, 90.00, 90.00 degrees
Space group I-4m2 (No. 119)
Symmetry-distinct sites (fractional):
Re: 0.000 0.000 0.000 x2
Re: 0.000 0.500 0.250 x2
Mo: 0.000 0.500 0.750 x2
Pt: 0.000 0.000 0.500 x2

***

Stability verdict: <A>, ahead by 21 meV per atom

***

<A>
Computed, not measured: a relaxed MoPt2Rh crystal at the GGA-PBEsol level of DFT.

N(E_F): 3.2 states/eV per cell
Total magnetization: 0.00 μB/atom

Cell lengths 2.723, 3.883, 5.498 Å; angles 90.00, 90.00, 90.00 degrees
Space group Pmm2 (No. 25)
Symmetry-distinct sites (fractional):
Mo: 0.000 0.000 0.000 x1
Pt: 0.000 0.000 0.512 x1
Pt: 0.500 0.500 0.252 x1
Rh: 0.500 0.500 0.767 x1

***

<B>
Computed, not measured: a relaxed MoPt2Rh crystal at the GGA-PBEsol level of DFT.

N(E_F): 7.7 states/eV per cell
Total magnetization: 0.00 μB/atom

Cell lengths 9.146, 2.716, 4.748 Å; angles 90.00, 99.83, 90.00 degrees
Space group Cm (No. 8)
Symmetry-distinct sites (fractional):
Mo: 0.000 0.000 0.000 x2
Pt: 0.251 0.000 0.751 x2
Pt: 0.496 0.000 0.493 x2
Rh: 0.245 0.500 0.240 x2

***

Stability verdict: <A>, ahead by 34 meV per atom

***

<A>
Computed, not measured: a relaxed MoPt2Rh crystal at the GGA-PBEsol level of DFT.

N(E_F): 3.2 states/eV per cell
Total magnetization: 0.00 μB/atom

Cell lengths 2.729, 2.729, 7.845 Å; angles 90.00, 90.00, 90.00 degrees
Space group P4mm (No. 99)
Symmetry-distinct sites (fractional):
Mo: 0.000 0.000 0.000 x1
Pt: 0.000 0.000 0.512 x1
Pt: 0.500 0.500 0.247 x1
Rh: 0.500 0.500 0.767 x1

***

<B>
Computed, not measured: a relaxed MoPt2Rh crystal at the GGA-PBEsol level of DFT.

N(E_F): 5.0 states/eV per cell
Total magnetization: 0.00 μB/atom

Cell lengths 2.714, 2.714, 7.887 Å; angles 90.00, 90.00, 90.00 degrees
Space group P4/mmm (No. 123)
Symmetry-distinct sites (fractional):
Mo: 0.000 0.000 0.000 x1
Pt: 0.500 0.500 0.247 x2
Rh: 0.000 0.000 0.500 x1

***

<C>
Computed, not measured: a relaxed MoPt2Rh crystal at the GGA-PBEsol level of DFT.

N(E_F): 9.5 states/eV per cell
Total magnetization: 0.00 μB/atom

Cell lengths 3.829, 3.829, 7.915 Å; angles 90.00, 90.00, 90.00 degrees
Space group I4/mmm (No. 139)
Symmetry-distinct sites (fractional):
Mo: 0.000 0.000 0.000 x2
Pt: 0.000 0.500 0.250 x4
Rh: 0.000 0.000 0.500 x2

***

<D>
Computed, not measured: a relaxed MoPt2Rh crystal at the GGA-PBEsol level of DFT.

N(E_F): 4.1 states/eV per cell
Total magnetization: 0.00 μB/atom

Cell lengths 2.718, 3.942, 5.412 Å; angles 90.00, 90.00, 90.00 degrees
Space group Pmmm (No. 47)
Symmetry-distinct sites (fractional):
Mo: 0.000 0.000 0.000 x1
Pt: 0.500 0.500 0.247 x2
Rh: 0.000 0.000 0.500 x1

***

Stability verdict: <C>, ahead by 15 meV per atom

***

<A>
Computed, not measured: a relaxed Mo2PtRh crystal at the GGA-PBEsol level of DFT.

N(E_F): 6.6 states/eV per cell
Total magnetization: 0.00 μB/atom

Cell lengths 9.052, 2.707, 4.849 Å; angles 90.00, 99.44, 90.00 degrees
Space group Cm (No. 8)
Symmetry-distinct sites (fractional):
Mo: 0.000 0.000 0.000 x2
Mo: 0.248 0.000 0.711 x2
Pt: 0.499 0.000 0.489 x2
Rh: 0.246 0.500 0.212 x2

***

<B>
Computed, not measured: a relaxed Mo2PtRh crystal at the GGA-PBEsol level of DFT.

N(E_F): 3.1 states/eV per cell
Total magnetization: 0.00 μB/atom

Cell lengths 2.709, 3.878, 5.606 Å; angles 90.00, 90.00, 90.00 degrees
Space group Pmm2 (No. 25)
Symmetry-distinct sites (fractional):
Mo: 0.000 0.000 0.000 x1
Mo: 0.500 0.500 0.281 x1
Pt: 0.000 0.000 0.519 x1
Rh: 0.500 0.500 0.787 x1

***

Stability verdict: <A>, ahead by 31 meV per atom

***

<A>
Computed, not measured: a relaxed Mo2PtRh crystal at the GGA-PBEsol level of DFT.

N(E_F): 4.9 states/eV per cell
Total magnetization: 0.00 μB/atom

Cell lengths 3.818, 3.818, 7.967 Å; angles 90.00, 90.00, 90.00 degrees
Space group I4/mmm (No. 139)
Symmetry-distinct sites (fractional):
Mo: 0.000 0.500 0.250 x4
Pt: 0.000 0.000 0.000 x2
Rh: 0.000 0.000 0.500 x2

***

<B>
Computed, not measured: a relaxed Mo2PtRh crystal at the GGA-PBEsol level of DFT.

N(E_F): 2.1 states/eV per cell
Total magnetization: 0.00 μB/atom

Cell lengths 2.713, 4.412, 4.845 Å; angles 90.00, 90.00, 90.00 degrees
Space group Pmm2 (No. 25)
Symmetry-distinct sites (fractional):
Mo: 0.000 0.000 0.000 x1
Mo: 0.000 0.500 0.334 x1
Pt: 0.500 0.500 0.832 x1
Rh: 0.500 0.000 0.496 x1

***

Stability verdict: <B>, ahead by 34 meV per atom

***

<A>
Computed, not measured: a relaxed Mo2PtRh crystal at the GGA-PBEsol level of DFT.

N(E_F): 2.4 states/eV per cell
Total magnetization: 0.00 μB/atom

Cell lengths 2.698, 3.984, 5.404 Å; angles 90.00, 90.00, 90.00 degrees
Space group Pmmm (No. 47)
Symmetry-distinct sites (fractional):
Mo: 0.000 0.000 0.242 x2
Pt: 0.500 0.500 0.500 x1
Rh: 0.500 0.500 0.000 x1

***

<B>
Computed, not measured: a relaxed Mo2PtRh crystal at the GGA-PBEsol level of DFT.

N(E_F): 4.5 states/eV per cell
Total magnetization: 0.00 μB/atom

Cell lengths 5.389, 7.993, 2.697 Å; angles 90.00, 90.00, 90.00 degrees
Space group Cmmm (No. 65)
Symmetry-distinct sites (fractional):
Mo: 0.250 0.250 0.000 x4
Pt: 0.000 0.000 0.500 x2
Rh: 0.000 0.500 0.500 x2

***

<C>
Computed, not measured: a relaxed Mo2PtRh crystal at the GGA-PBEsol level of DFT.

N(E_F): 2.4 states/eV per cell
Total magnetization: 0.00 μB/atom

Cell lengths 3.817, 3.817, 3.986 Å; angles 90.00, 90.00, 90.00 degrees
Space group P4/mmm (No. 123)
Symmetry-distinct sites (fractional):
Mo: 0.000 0.500 0.000 x2
Pt: 0.000 0.000 0.500 x1
Rh: 0.500 0.500 0.500 x1

***

Stability verdict: <C>, ahead by 8 meV per atom

***

<A>
Computed, not measured: a relaxed MoPtRh crystal at the GGA-PBEsol level of DFT.

N(E_F): 15.9 states/eV per cell
Total magnetization: 0.00 μB/atom

Cell lengths 5.900, 5.900, 5.900 Å; angles 90.00, 90.00, 90.00 degrees
Space group F-43m (No. 216)
Symmetry-distinct sites (fractional):
Mo: 0.000 0.000 0.000 x4
Pt: 0.000 0.000 0.500 x4
Rh: 0.250 0.250 0.750 x4

***

<B>
Computed, not measured: a relaxed MoPtRh crystal at the GGA-PBEsol level of DFT.

N(E_F): 5.8 states/eV per cell
Total magnetization: 0.00 μB/atom

Cell lengths 2.723, 2.723, 11.667 Å; angles 90.00, 90.00, 90.00 degrees
Space group I4mm (No. 107)
Symmetry-distinct sites (fractional):
Mo: 0.000 0.000 0.000 x2
Pt: 0.000 0.000 0.668 x2
Rh: 0.000 0.000 0.344 x2

***

<C>
Computed, not measured: a relaxed MoPtRh crystal at the GGA-PBEsol level of DFT.

N(E_F): 4.2 states/eV per cell
Total magnetization: 0.00 μB/atom

Cell lengths 2.717, 3.859, 8.235 Å; angles 90.00, 90.00, 90.00 degrees
Space group Imm2 (No. 44)
Symmetry-distinct sites (fractional):
Mo: 0.000 0.000 0.000 x2
Pt: 0.000 0.000 0.669 x2
Rh: 0.000 0.000 0.341 x2

***

Stability verdict: <C>, ahead by 47 meV per atom

***

<A>
Computed, not measured: a relaxed MoRu2Pt crystal at the GGA-PBEsol level of DFT.

N(E_F): 2.5 states/eV per cell
Total magnetization: 0.00 μB/atom

Cell lengths 3.863, 3.863, 3.769 Å; angles 90.00, 90.00, 90.00 degrees
Space group P4/mmm (No. 123)
Symmetry-distinct sites (fractional):
Mo: 0.000 0.000 0.000 x1
Ru: 0.000 0.500 0.500 x2
Pt: 0.500 0.500 0.000 x1

***

<B>
Computed, not measured: a relaxed MoRu2Pt crystal at the GGA-PBEsol level of DFT.

N(E_F): 6.7 states/eV per cell
Total magnetization: 0.00 μB/atom

Cell lengths 3.824, 3.824, 7.711 Å; angles 90.00, 90.00, 90.00 degrees
Space group I-4m2 (No. 119)
Symmetry-distinct sites (fractional):
Mo: 0.000 0.000 0.000 x2
Ru: 0.000 0.000 0.500 x2
Ru: 0.000 0.500 0.250 x2
Pt: 0.000 0.500 0.750 x2

***

Stability verdict: <A>, ahead by 45 meV per atom

***

<A>
Computed, not measured: a relaxed MoRu2Pt crystal at the GGA-PBEsol level of DFT.

N(E_F): 7.1 states/eV per cell
Total magnetization: 0.00 μB/atom

Cell lengths 3.879, 3.879, 7.510 Å; angles 90.00, 90.00, 90.00 degrees
Space group I4/mmm (No. 139)
Symmetry-distinct sites (fractional):
Mo: 0.000 0.000 0.000 x2
Ru: 0.000 0.500 0.250 x4
Pt: 0.000 0.000 0.500 x2

***

<B>
Computed, not measured: a relaxed MoRu2Pt crystal at the GGA-PBEsol level of DFT.

N(E_F): 8.0 states/eV per cell
Total magnetization: 0.00 μB/atom

Cell lengths 8.982, 2.697, 4.751 Å; angles 90.00, 99.89, 90.00 degrees
Space group C2/m (No. 12)
Symmetry-distinct sites (fractional):
Mo: 0.000 0.000 0.000 x2
Ru: 0.247 0.500 0.240 x4
Pt: 0.000 0.500 0.500 x2

***

Stability verdict: <A>, ahead by 53 meV per atom

***

<A>
Computed, not measured: a relaxed TaMo2Pt crystal at the GGA-PBEsol level of DFT.

N(E_F): 4.0 states/eV per cell
Total magnetization: 0.00 μB/atom

Cell lengths 3.242, 3.242, 6.028 Å; angles 90.00, 90.00, 90.00 degrees
Space group P4mm (No. 99)
Symmetry-distinct sites (fractional):
Ta: 0.000 0.000 0.000 x1
Mo: 0.000 0.000 0.484 x1
Mo: 0.500 0.500 0.259 x1
Pt: 0.500 0.500 0.758 x1

***

<B>
Computed, not measured: a relaxed TaMo2Pt crystal at the GGA-PBEsol level of DFT.

N(E_F): 3.3 states/eV per cell
Total magnetization: 0.00 μB/atom

Cell lengths 2.694, 4.551, 5.191 Å; angles 90.00, 99.33, 90.00 degrees
Space group P2/m (No. 10)
Symmetry-distinct sites (fractional):
Ta: 0.000 0.000 0.000 x1
Mo: 0.237 0.500 0.756 x2
Pt: 0.500 0.000 0.500 x1

***

<C>
Computed, not measured: a relaxed TaMo2Pt crystal at the GGA-PBEsol level of DFT.

N(E_F): 8.2 states/eV per cell
Total magnetization: 0.00 μB/atom

Cell lengths 3.905, 3.905, 8.258 Å; angles 90.00, 90.00, 90.00 degrees
Space group I4/mmm (No. 139)
Symmetry-distinct sites (fractional):
Ta: 0.000 0.000 0.000 x2
Mo: 0.000 0.500 0.250 x4
Pt: 0.000 0.000 0.500 x2

***

Stability verdict: <A>, ahead by 62 meV per atom

***

<A>
Computed, not measured: a relaxed TcMo2Pt crystal at the GGA-PBEsol level of DFT.

N(E_F): 2.9 states/eV per cell
Total magnetization: 0.00 μB/atom

Cell lengths 3.281, 3.281, 5.570 Å; angles 90.00, 90.00, 90.00 degrees
Space group P4/mmm (No. 123)
Symmetry-distinct sites (fractional):
Tc: 0.000 0.000 0.000 x1
Mo: 0.500 0.500 0.244 x2
Pt: 0.000 0.000 0.500 x1

***

<B>
Computed, not measured: a relaxed TcMo2Pt crystal at the GGA-PBEsol level of DFT.

N(E_F): 2.7 states/eV per cell
Total magnetization: 0.00 μB/atom

Cell lengths 3.897, 3.897, 3.873 Å; angles 90.00, 90.00, 90.00 degrees
Space group P4/mmm (No. 123)
Symmetry-distinct sites (fractional):
Tc: 0.000 0.000 0.000 x1
Mo: 0.000 0.500 0.500 x2
Pt: 0.500 0.500 0.000 x1

***

Stability verdict: <B>, ahead by 218 meV per atom

***

<A>
Computed, not measured: a relaxed TcMoPt crystal at the GGA-PBEsol level of DFT.

N(E_F): 2.4 states/eV per cell
Total magnetization: 0.00 μB/atom

Cell lengths 4.3477, 4.3477, 2.7177 Å; angles 90.00, 90.00, 120.00 degrees
Space group P-6m2 (No. 187)
Symmetry-distinct sites (fractional):
Tc: 0.0000 0.0000 0.0000 x1
Mo: 0.6667 0.3333 0.0000 x1
Pt: 0.3333 0.6667 0.5000 x1

***

<B>
Computed, not measured: a relaxed TcMoPt crystal at the GGA-PBEsol level of DFT.

N(E_F): 5.7 states/eV per cell
Total magnetization: 0.00 μB/atom

Cell lengths 2.723, 2.723, 11.850 Å; angles 90.00, 90.00, 90.00 degrees
Space group I4mm (No. 107)
Symmetry-distinct sites (fractional):
Tc: 0.000 0.000 0.000 x2
Mo: 0.000 0.000 0.339 x2
Pt: 0.000 0.000 0.668 x2

***

Stability verdict: <B>, ahead by 106 meV per atom